Entry 1:
VASP calculation (PBE-GGA) on TbY3Pd4 after structural relaxation.

The space group is Pmmm (No. 47) and the conventional cell measures 3.447, 5.027 and 10.052 Å, with angles of 90.00, 90.00 and 90.00 degrees. The distinct sites, in fractional coordinates, are Tb at (0.000, 0.000, 0.000), Y at (0.000, 0.000, 0.500), Y at (0.000, 0.500, 0.250), Pd at (0.500, 0.000, 0.249), Pd at (0.500, 0.500, 0.000) and Pd at (0.500, 0.500, 0.500).

As for the formation energy: -876 meV/atom.


Entry 2:
VASP calculation (PBE-GGA) on TlReC3 after structural relaxation.

The space group is Pm-3m (No. 221) and the conventional cell measures 4.133, 4.133 and 4.133 Å, with angles of 90.00, 90.00 and 90.00 degrees. The distinct sites, in fractional coordinates, are Tl at (0.000, 0.000, 0.000), Re at (0.500, 0.500, 0.500) and C at (0.000, 0.500, 0.500).

As for the formation energy: 1701 meV/atom.


Entry 3:
VASP calculation (PBE-GGA) on EuInAu4 after structural relaxation.

The space group is F-43m (No. 216) and the conventional cell measures 8.032, 8.032 and 8.032 Å, with angles of 90.00, 90.00 and 90.00 degrees. The distinct sites, in fractional coordinates, are Eu at (0.000, 0.000, 0.000), In at (0.250, 0.250, 0.750) and Au at (0.125, 0.125, 0.375).

As for the formation energy: -431 meV/atom.


Entry 4:
VASP calculation (PBE-GGA) on Zn10Cu6Ni after structural relaxation.

The space group is P-31m (No. 162) and the conventional cell measures 7.2399, 7.2399 and 5.0876 Å, with angles of 90.00, 90.00 and 120.00 degrees. The distinct sites, in fractional coordinates, are Zn at (0.0000, 0.2775, 0.1788), Zn at (0.3333, 0.6667, 0.0000), Zn at (0.3333, 0.6667, 0.5000), Cu at (0.0000, 0.3611, 0.6762) and Ni at (0.0000, 0.0000, 0.5000).

As for the formation energy: -48 meV/atom.


Entry 5:
VASP calculation (PBE-GGA) on TeIrAuN2 after structural relaxation.

The space group is P4/mmm (No. 123) and the conventional cell measures 3.834, 3.834 and 6.029 Å, with angles of 90.00, 90.00 and 90.00 degrees. The distinct sites, in fractional coordinates, are Te at (0.000, 0.000, 0.000), Ir at (0.000, 0.000, 0.500), Au at (0.500, 0.500, 0.000) and N at (0.000, 0.500, 0.500).

For the formation energy (no corrections), the calculation gives 779.1 meV/atom.


Entry 6:
VASP calculation (PBE-GGA) on MgBe2Cd after structural relaxation.

The space group is P4/mmm (No. 123) and the conventional cell measures 3.207, 3.207 and 5.696 Å, with angles of 90.00, 90.00 and 90.00 degrees. The distinct sites, in fractional coordinates, are Mg at (0.000, 0.000, 0.000), Be at (0.500, 0.500, 0.228) and Cd at (0.000, 0.000, 0.500).

As for the formation energy: 424 meV/atom.


Entry 7:
VASP calculation (PBE-GGA) on Sm2IBr5 after structural relaxation.

The space group is Immm (No. 71) and the conventional cell measures 4.906, 8.806 and 11.681 Å, with angles of 90.00, 90.00 and 90.00 degrees. The distinct sites, in fractional coordinates, are Sm at (0.000, 0.000, 0.241), I at (0.000, 0.500, 0.000), Br at (0.000, 0.000, 0.000) and Br at (0.000, 0.311, 0.336).

For the formation energy (no corrections), the calculation gives -1596.1 meV/atom.


Entry 8:
VASP calculation (PBE-GGA) on TlSb3S after structural relaxation.

The space group is Pm-3m (No. 221) and the conventional cell measures 5.318, 5.318 and 5.318 Å, with angles of 90.00, 90.00 and 90.00 degrees. The distinct sites, in fractional coordinates, are Tl at (0.000, 0.000, 0.000), Sb at (0.000, 0.500, 0.500) and S at (0.500, 0.500, 0.500).

For the formation energy (no corrections), the calculation gives 392.8 meV/atom.


Entry 9:
VASP calculation (PBE-GGA) on ScZnGe after structural relaxation.

The space group is Cmcm (No. 63) and the conventional cell measures 3.519, 15.912 and 4.338 Å, with angles of 90.00, 90.00 and 90.00 degrees. The distinct sites, in fractional coordinates, are Sc at (0.000, 0.167, 0.250), Zn at (0.000, 0.037, 0.750) and Ge at (0.000, 0.342, 0.250).

As for the formation energy: -370 meV/atom.


Entry 10:
VASP calculation (PBE-GGA) on NdHo2Tm3Te6 after structural relaxation.

The space group is C2/m (No. 12) and the conventional cell measures 19.056, 4.307 and 8.769 Å, with angles of 90.00, 104.46 and 90.00 degrees. The distinct sites, in fractional coordinates, are Nd at (0.000, 0.000, 0.000), Ho at (0.163, 0.500, 0.326), Tm at (0.000, 0.000, 0.500), Tm at (0.161, 0.500, 0.831), Te at (0.000, 0.500, 0.262), Te at (0.168, 0.000, 0.584) and Te at (0.173, 0.000, 0.082).

For the formation energy (no corrections), the calculation gives -1238.3 meV/atom.


Entry 11:
VASP calculation (PBE-GGA) on CsTbTeSe after structural relaxation.

The space group is R3m (No. 160, hexagonal axes) and the conventional cell measures 4.4003, 4.4003 and 26.3382 Å, with angles of 90.00, 90.00 and 120.00 degrees. The distinct sites, in fractional coordinates, are Cs at (0.0000, 0.0000, 0.0000), Tb at (0.0000, 0.0000, 0.1603), Te at (0.0000, 0.0000, 0.5620) and Se at (0.0000, 0.0000, 0.7704).

For the formation energy (no corrections), the calculation gives -1533.0 meV/atom.


Entry 12:
VASP calculation (PBE-GGA) on DyHoMg2Au4 after structural relaxation.

The space group is R-3m (No. 166, hexagonal axes) and the conventional cell measures 4.9081, 4.9081 and 23.8925 Å, with angles of 90.00, 90.00 and 120.00 degrees. The distinct sites, in fractional coordinates, are Dy at (0.0000, 0.0000, 0.0000), Ho at (0.0000, 0.0000, 0.5000), Mg at (0.0000, 0.0000, 0.2499), Au at (0.0000, 0.0000, 0.1260) and Au at (0.0000, 0.0000, 0.3749).

As for the formation energy: -784 meV/atom.


Entry 13:
VASP calculation (PBE-GGA) on LaBiCl6 after structural relaxation.

The space group is P-31c (No. 163) and the conventional cell measures 6.8569, 6.8569 and 12.7898 Å, with angles of 90.00, 90.00 and 120.00 degrees. The distinct sites, in fractional coordinates, are La at (0.3333, 0.6667, 0.2500), Bi at (0.0000, 0.0000, 0.0000) and Cl at (0.0030, 0.3288, 0.1228).

For the formation energy (no corrections), the calculation gives -1650.6 meV/atom.


Entry 14:
VASP calculation (PBE-GGA) on Zr2SbAs after structural relaxation.

The space group is Cmmm (No. 65) and the conventional cell measures 4.629, 4.919 and 7.363 Å, with angles of 90.00, 90.00 and 90.00 degrees. The distinct sites, in fractional coordinates, are Zr at (0.000, 0.000, 0.221), Sb at (0.000, 0.500, 0.500) and As at (0.000, 0.500, 0.000).

For the formation energy (no corrections), the calculation gives -673.1 meV/atom.


Entry 15:
VASP calculation (PBE-GGA) on Sc5BRh15 after structural relaxation.

The space group is P4/mmm (No. 123) and the conventional cell measures 4.017, 4.017 and 19.469 Å, with angles of 90.00, 90.00 and 90.00 degrees. The distinct sites, in fractional coordinates, are Sc at (0.000, 0.000, 0.000), Sc at (0.000, 0.000, 0.198), Sc at (0.000, 0.000, 0.395), B at (0.500, 0.500, 0.500), Rh at (0.000, 0.500, 0.098), Rh at (0.000, 0.500, 0.296), Rh at (0.000, 0.500, 0.500), Rh at (0.500, 0.500, 0.000), Rh at (0.500, 0.500, 0.196) and Rh at (0.500, 0.500, 0.392).

As for the formation energy: -642 meV/atom.


Entry 16:
VASP calculation (PBE-GGA) on HfPt2Rh8 after structural relaxation.

The space group is C2/m (No. 12) and the conventional cell measures 7.120, 12.382 and 4.718 Å, with angles of 90.00, 123.54 and 90.00 degrees. The distinct sites, in fractional coordinates, are Hf at (0.000, 0.000, 0.000), Pt at (0.000, 0.310, 0.500), Rh at (0.000, 0.211, 0.000), Rh at (0.069, 0.500, 0.802) and Rh at (0.209, 0.116, 0.656).

As for the formation energy: -8 meV/atom.


Entry 17:
VASP calculation (PBE-GGA) on TaTc2Ag after structural relaxation.

The space group is P4mm (No. 99) and the conventional cell measures 2.798, 2.798 and 8.332 Å, with angles of 90.00, 90.00 and 90.00 degrees. The distinct sites, in fractional coordinates, are Ta at (0.000, 0.000, 0.000), Tc at (0.000, 0.000, 0.458), Tc at (0.500, 0.500, 0.250) and Ag at (0.500, 0.500, 0.726).

As for the formation energy: 213 meV/atom.


Entry 18:
VASP calculation (PBE-GGA) on CaNdSmZn after structural relaxation.

The space group is F-43m (No. 216) and the conventional cell measures 7.773, 7.773 and 7.773 Å, with angles of 90.00, 90.00 and 90.00 degrees. The distinct sites, in fractional coordinates, are Ca at (0.000, 0.000, 0.000), Nd at (0.250, 0.250, 0.250), Sm at (0.250, 0.250, 0.750) and Zn at (0.000, 0.000, 0.500).

As for the formation energy: 39 meV/atom.


Entry 19:
VASP calculation (PBE-GGA) on Tm2SiAs after structural relaxation.

The space group is Cmcm (No. 63) and the conventional cell measures 4.161, 22.037 and 3.901 Å, with angles of 90.00, 90.00 and 90.00 degrees. The distinct sites, in fractional coordinates, are Tm at (0.000, 0.064, 0.250), Tm at (0.000, 0.317, 0.250), Si at (0.000, 0.462, 0.250) and As at (0.000, 0.188, 0.250).

For the formation energy (no corrections), the calculation gives -1122.4 meV/atom.


Entry 20:
VASP calculation (PBE-GGA) on HgTeMoAu after structural relaxation.

The space group is Cm (No. 8) and the conventional cell measures 4.498, 4.497 and 8.892 Å, with angles of 90.00, 91.08 and 90.00 degrees. The distinct sites, in fractional coordinates, are Hg at (0.000, 0.000, 0.000), Te at (0.017, 0.500, 0.629), Mo at (0.011, 0.000, 0.443) and Au at (0.004, 0.500, 0.238).

For the formation energy (no corrections), the calculation gives 205.4 meV/atom.


These records have volume values of 174.18, 70.61, 518.21, 230.94, 88.64, 58.56, 504.69, 150.43, 242.88, 696.92, 441.64, 498.46, 520.78, 167.65, 314.21, 346.68, 65.22, 469.62, 357.76, 179.84 Å³ per cell, in the order they appear.